Version A
Compound: PaI3Cl
Source: the Alexandria database
Functional: PBE
Structure: relaxed

Unit cell a=15.2857 b=3.9147 c=16.3400 alpha=90.00 beta=111.98 gamma=90.00
Space group Cm (No. 8)
One atom of each set of equivalent atoms:
Pa 0.0000 0.0000 0.0000 [2 per cell]
Pa 0.1966 0.5000 0.4738 [2 per cell]
I 0.0236 0.0000 0.4090 [2 per cell]
I 0.0345 0.0000 0.8359 [2 per cell]
I 0.1505 0.5000 0.6325 [2 per cell]
I 0.1715 0.5000 0.0596 [2 per cell]
I 0.3398 0.0000 0.8937 [2 per cell]
I 0.4705 0.0000 0.1411 [2 per cell]
Cl 0.2270 0.0000 0.3615 [2 per cell]
Cl 0.3194 0.0000 0.5710 [2 per cell]

Version B
Compound: PaI3Cl
Source: the Alexandria database
Functional: PBE
Structure: relaxed

Unit cell a=8.6672 b=10.6348 c=11.0780 alpha=90.00 beta=90.00 gamma=90.00
Space group Imma (No. 74)
One atom of each set of equivalent atoms:
Pa 0.2500 0.2500 0.2500 [4 per cell]
I 0.0000 0.2500 0.0479 [4 per cell]
I 0.2500 0.0259 0.7500 [8 per cell]
Cl 0.0000 0.2500 0.4013 [4 per cell]

Which of them is the most stable, and which is the least stable? version B and version A, in that order.

Version A
Compound: PbI2Cl6
Source: the Alexandria database
Functional: PBE
Structure: relaxed

Unit cell a=19.6828 b=10.2284 c=7.2439 alpha=90.00 beta=96.06 gamma=90.00
Space group C2/c (No. 15)
One atom of each set of equivalent atoms:
Pb 0.0000 0.1016 0.2500 [4 per cell]
I 0.1683 0.3743 0.4093 [8 per cell]
Cl 0.0807 0.0747 0.6070 [8 per cell]
Cl 0.0895 0.3796 0.1171 [8 per cell]
Cl 0.2458 0.3639 0.7003 [8 per cell]

Version B
Compound: PbI2Cl6
Source: the Alexandria database
Functional: PBE
Structure: relaxed

Unit cell a=15.0571 b=13.9855 c=6.7595 alpha=90.00 beta=100.24 gamma=90.00
Space group C2/c (No. 15)
One atom of each set of equivalent atoms:
Pb 0.0000 0.0824 0.2500 [4 per cell]
I 0.1338 0.3957 0.1019 [8 per cell]
Cl 0.1062 0.0567 0.6333 [8 per cell]
Cl 0.1275 0.4276 0.5886 [8 per cell]
Cl 0.1452 0.2177 0.1360 [8 per cell]

Which of them is the most stable, and which is the least stable? version A and version B, in that order.

Version A
Compound: Pb2I3Cl
Source: the Alexandria database
Functional: PBE
Structure: relaxed

Unit cell a=18.4283 b=4.6937 c=12.7791 alpha=90.00 beta=117.87 gamma=90.00
Space group C2/m (No. 12)
One atom of each set of equivalent atoms:
Pb 0.1136 0.0000 0.4378 [4 per cell]
Pb 0.1372 0.5000 0.8252 [4 per cell]
I 0.0527 0.5000 0.2352 [4 per cell]
I 0.1531 0.0000 0.0071 [4 per cell]
I 0.2305 0.5000 0.6224 [4 per cell]
Cl 0.0722 0.0000 0.6513 [4 per cell]

Version B
Compound: Pb2I3Cl
Source: the Alexandria database
Functional: PBE
Structure: relaxed

Unit cell a=9.1402 b=9.1402 c=7.5701 alpha=90.00 beta=90.00 gamma=120.00
Space group P-3m1 (No. 164)
One atom of each set of equivalent atoms:
Pb 0.0000 0.0000 0.0000 [1 per cell]
Pb 0.0000 0.5000 0.0000 [3 per cell]
I 0.1656 0.3312 0.2550 [6 per cell]
Cl 0.3333 0.6667 0.8231 [2 per cell]

Which of them is the most stable, and which is the least stable? version B and version A, in that order.

Version A
Compound: SbPbI2Cl
Source: the Alexandria database
Functional: PBE
Structure: relaxed

Unit cell a=6.0442 b=6.0442 c=6.2021 alpha=90.00 beta=90.00 gamma=90.00
Space group P4/mmm (No. 123)
One atom of each set of equivalent atoms:
Sb 0.0000 0.0000 0.0000 [1 per cell]
Pb 0.0000 0.0000 0.5000 [1 per cell]
I 0.0000 0.5000 0.5000 [2 per cell]
Cl 0.5000 0.5000 0.0000 [1 per cell]

Version B
Compound: SbPbI2Cl
Source: the Alexandria database
Functional: PBE
Structure: relaxed

Unit cell a=6.0772 b=6.0772 c=5.1475 alpha=90.00 beta=90.00 gamma=90.00
Space group P4/mmm (No. 123)
One atom of each set of equivalent atoms:
Sb 0.0000 0.0000 0.0000 [1 per cell]
Pb 0.5000 0.5000 0.0000 [1 per cell]
I 0.0000 0.5000 0.5000 [2 per cell]
Cl 0.0000 0.0000 0.5000 [1 per cell]

Which of them is the most stable, and which is the least stable? version A and version B, in that order.

Version A
Compound: Sb2PbICl
Source: the Alexandria database
Functional: PBE
Structure: relaxed

Unit cell a=5.1675 b=5.1675 c=6.7678 alpha=90.00 beta=90.00 gamma=90.00
Space group P4/mmm (No. 123)
One atom of each set of equivalent atoms:
Sb 0.0000 0.5000 0.0000 [2 per cell]
Pb 0.0000 0.0000 0.5000 [1 per cell]
I 0.5000 0.5000 0.5000 [1 per cell]
Cl 0.5000 0.5000 0.0000 [1 per cell]

Version B
Compound: Sb2PbICl
Source: the Alexandria database
Functional: PBE
Structure: relaxed

Unit cell a=6.0158 b=6.0158 c=6.0326 alpha=90.00 beta=90.00 gamma=90.00
Space group P4/mmm (No. 123)
One atom of each set of equivalent atoms:
Sb 0.0000 0.5000 0.0000 [2 per cell]
Pb 0.0000 0.0000 0.0000 [1 per cell]
I 0.0000 0.0000 0.5000 [1 per cell]
Cl 0.5000 0.5000 0.5000 [1 per cell]

Which of them is the most stable, and which is the least stable? version A and version B, in that order.

Version A
Compound: TlPbI2Cl
Source: the Alexandria database
Functional: PBE
Structure: relaxed

Unit cell a=4.6638 b=15.3823 c=10.9772 alpha=90.00 beta=90.00 gamma=90.00
Space group Cmcm (No. 63)
One atom of each set of equivalent atoms:
Tl 0.0000 0.2184 0.2500 [4 per cell]
Pb 0.0000 0.5000 0.0000 [4 per cell]
I 0.0000 0.1414 0.5583 [8 per cell]
Cl 0.0000 0.4291 0.7500 [4 per cell]

Version B
Compound: TlPbI2Cl
Source: the Alexandria database
Functional: PBE
Structure: relaxed

Unit cell a=6.3650 b=6.3650 c=5.5830 alpha=90.00 beta=90.00 gamma=90.00
Space group P4/mmm (No. 123)
One atom of each set of equivalent atoms:
Tl 0.0000 0.0000 0.0000 [1 per cell]
Pb 0.5000 0.5000 0.5000 [1 per cell]
I 0.0000 0.5000 0.5000 [2 per cell]
Cl 0.5000 0.5000 0.0000 [1 per cell]

Which of them is the most stable, and which is the least stable? version A and version B, in that order.